Record 1
{
  "formula": "UVCu",
  "functional": "PBE",
  "state": "optimized geometry",
  "formation_enthalpy_0k_mev_per_atom": 245,
  "space_group": "No. 1",
  "vol_a3_per_cell": 93.26,
  "lattice_angstrom": [[2.9137, -0.0973, -0.3607], [1.3780, 2.3803, -0.0449], [-0.6485, 0.7253, 13.3077]],
  "species": ["U", "U", "Cu", "Cu", "V", "V"],
  "fractional_positions": [[0.7967, 0.1937, 0.8167], [0.9923, 0.1055, 0.6161], [0.6782, 0.6133, 0.2911], [0.8844, 0.0194, 0.1426], [0.4380, 0.2474, 0.4461], [0.3482, 0.7732, 0.9870]]
}



Record 2
{
  "formula": "CeTh2Sc5",
  "functional": "PBE",
  "state": "optimized geometry",
  "formation_enthalpy_0k_mev_per_atom": 209,
  "space_group": "No. 63",
  "de_polymorph_ev_per_atom": 0.167,
  "vol_a3_per_cell": 447.77,
  "lattice_angstrom": [[-1.5789, 2.1716, -2.0278], [-4.0853, -7.6762, -2.2480], [-10.3903, 2.4059, 10.6668]],
  "species": ["Sc", "Sc", "Sc", "Sc", "Sc", "Sc", "Sc", "Sc", "Sc", "Sc", "Ce", "Ce", "Th", "Th", "Th", "Th"],
  "fractional_positions": [[0.0492, 0.0984, 0.4170], [0.0492, 0.0984, 0.0830], [0.3053, 0.6106, 0.9424], [0.4909, 0.9819, 0.7500], [0.6947, 0.3894, 0.0576], [0.9508, 0.9016, 0.5830], [0.3053, 0.6106, 0.5576], [0.5091, 0.0181, 0.2500], [0.6947, 0.3894, 0.4424], [0.9508, 0.9016, 0.9170], [0.8081, 0.6163, 0.7500], [0.1919, 0.3837, 0.2500], [0.8694, 0.7388, 0.1313], [0.1306, 0.2612, 0.8687], [0.8694, 0.7388, 0.3687], [0.1306, 0.2612, 0.6313]]
}



Record 3
{
  "formula": "Er12Al6Zn",
  "functional": "PBE",
  "state": "optimized geometry",
  "formation_enthalpy_0k_mev_per_atom": 95,
  "space_group": "No. 148",
  "vol_a3_per_cell": 581.92,
  "lattice_angstrom": [[8.5310, -0.1766, -0.2116], [-1.4679, 8.4056, -0.2116], [-1.4679, -1.7102, 8.2325]],
  "species": ["Al", "Al", "Al", "Al", "Al", "Al", "Zn", "Er", "Er", "Er", "Er", "Er", "Er", "Er", "Er", "Er", "Er", "Er", "Er"],
  "fractional_positions": [[0.6229, 0.3057, 0.1369], [0.3771, 0.6943, 0.8631], [0.6943, 0.8631, 0.3771], [0.1369, 0.6229, 0.3057], [0.8631, 0.3771, 0.6943], [0.3057, 0.1369, 0.6229], [0.0000, 0.0000, 0.0000], [0.8220, 0.5791, 0.4415], [0.3218, 0.0560, 0.9521], [0.1780, 0.4209, 0.5585], [0.0560, 0.9521, 0.3218], [0.4415, 0.8220, 0.5791], [0.4209, 0.5585, 0.1780], [0.6782, 0.9440, 0.0479], [0.5791, 0.4415, 0.8220], [0.9440, 0.0479, 0.6782], [0.9521, 0.3218, 0.0560], [0.5585, 0.1780, 0.4209], [0.0479, 0.6782, 0.9440]]
}



Record 4
{
  "formula": "Sm3TeP2Rh9",
  "functional": "PBE",
  "state": "optimized geometry",
  "e_form_raw_ev_per_atom": -0.650,
  "space_group": "No. 164",
  "vol_a3_per_cell": 296.00,
  "lattice_angstrom": [[6.0967, 0.0000, 0.0000], [-3.0484, 5.2799, 0.0000], [0.0000, 0.0000, 9.1955]],
  "species": ["Sm", "Sm", "Sm", "Rh", "Rh", "Rh", "Rh", "Rh", "Rh", "Rh", "Rh", "Rh", "Te", "P", "P"],
  "fractional_positions": [[0.3333, 0.6667, 0.7134], [0.6667, 0.3333, 0.2866], [0.0000, 0.0000, 0.0000], [0.6952, 0.8476, 0.2754], [0.0000, 0.5000, 0.0000], [0.8476, 0.1524, 0.7246], [0.1524, 0.8476, 0.2754], [0.1524, 0.3048, 0.2754], [0.5000, 0.0000, 0.0000], [0.8476, 0.6952, 0.7246], [0.5000, 0.5000, 0.0000], [0.3048, 0.1524, 0.7246], [0.0000, 0.0000, 0.5000], [0.6667, 0.3333, 0.8406], [0.3333, 0.6667, 0.1594]]
}



Record 5
{
  "formula": "AcP2Pd",
  "functional": "PBE",
  "state": "optimized geometry",
  "formation_enthalpy_0k_mev_per_atom": -390,
  "space_group": "No. 123",
  "de_polymorph_ev_per_atom": 0.580,
  "vol_a3_per_cell": 85.13,
  "lattice_angstrom": [[4.1619, 0.0000, 0.0000], [0.0000, 4.5228, 0.0000], [0.0000, 0.0000, 4.5228]],
  "species": ["P", "P", "Pd", "Ac"],
  "fractional_positions": [[0.0000, 0.5000, 0.0000], [0.0000, 0.0000, 0.5000], [0.5000, 0.5000, 0.5000], [0.5000, 0.0000, 0.0000]]
}



Record 6
{
  "formula": "Ba2LiPrTe4",
  "functional": "PBE",
  "state": "optimized geometry",
  "e_form_raw_ev_per_atom": -1.487,
  "space_group": "No. 10",
  "vol_a3_per_cell": 302.83,
  "lattice_angstrom": [[4.7647, 0.0000, 0.0000], [0.0000, 8.2093, -0.1898], [0.0000, 2.8623, 7.6759]],
  "species": ["Te", "Te", "Te", "Te", "Li", "Pr", "Ba", "Ba"],
  "fractional_positions": [[0.0000, 0.2793, 0.2424], [0.5000, 0.2787, 0.7421], [0.0000, 0.7207, 0.7576], [0.5000, 0.7213, 0.2579], [0.5000, 0.5000, 0.0000], [0.0000, 0.5000, 0.5000], [0.0000, 0.0000, 0.0000], [0.5000, 0.0000, 0.5000]]
}



Record 7
{
  "formula": "AcTb5Y12",
  "functional": "PBE",
  "state": "optimized geometry",
  "formation_enthalpy_0k_mev_per_atom": 16,
  "space_group": "No. 12",
  "vol_a3_per_cell": 588.68,
  "lattice_angstrom": [[1.1725, -5.4767, -2.7538], [4.6509, 3.2379, 2.6149], [-0.8561, -8.9586, 15.0965]],
  "species": ["Y", "Y", "Y", "Y", "Y", "Y", "Y", "Y", "Y", "Y", "Y", "Y", "Tb", "Tb", "Tb", "Tb", "Tb", "Ac"],
  "fractional_positions": [[0.1103, 0.1103, 0.6672], [0.5558, 0.2225, 0.3340], [0.7775, 0.4442, 0.6660], [0.2802, 0.2802, 0.1690], [0.0559, 0.3919, 0.8310], [0.9441, 0.6081, 0.1690], [0.6081, 0.9441, 0.1690], [0.2225, 0.5558, 0.3340], [0.4442, 0.7775, 0.6660], [0.7198, 0.7198, 0.8310], [0.3919, 0.0559, 0.8310], [0.8897, 0.8897, 0.3328], [0.3333, 0.6667, 0.0000], [0.6667, 0.3333, 0.0000], [0.8338, 0.1662, 0.5000], [0.5000, 0.5000, 0.5000], [0.1662, 0.8338, 0.5000], [0.0000, 0.0000, 0.0000]]
}



Record 8
{
  "formula": "Fe2AgTe",
  "functional": "PBE",
  "state": "optimized geometry",
  "e_form_raw_ev_per_atom": 0.492,
  "space_group": "No. 10",
  "vol_a3_per_cell": 70.89,
  "lattice_angstrom": [[4.0067, 0.0000, 0.0000], [0.0000, 2.9964, -0.0200], [0.0000, 1.3979, 5.8956]],
  "species": ["Ag", "Te", "Fe", "Fe"],
  "fractional_positions": [[0.5000, 0.7500, 0.7500], [0.5000, 0.2500, 0.2500], [0.0000, 0.1643, 0.9561], [0.0000, 0.3357, 0.5439]]
}



Record 9
{
  "formula": "SrLiIn2Hg",
  "functional": "PBE",
  "state": "optimized geometry",
  "formation_enthalpy_0k_mev_per_atom": -219,
  "space_group": "No. 123",
  "vol_a3_per_cell": 134.33,
  "lattice_angstrom": [[5.1198, 0.0000, 0.0000], [0.0000, 5.1198, 0.0000], [0.0000, 0.0000, 5.1248]],
  "species": ["Sr", "Hg", "In", "In", "Li"],
  "fractional_positions": [[0.5000, 0.5000, 0.5000], [0.0000, 0.0000, 0.5000], [0.0000, 0.5000, 0.0000], [0.5000, 0.0000, 0.0000], [0.0000, 0.0000, 0.0000]]
}



Record 10
{
  "formula": "SrThZnIn",
  "functional": "PBE",
  "state": "optimized geometry",
  "formation_enthalpy_0k_mev_per_atom": -130,
  "space_group": "No. 216",
  "vol_a3_per_cell": 116.02,
  "lattice_angstrom": [[5.4745, 0.0000, 0.0000], [2.7373, 4.7411, 0.0000], [2.7373, 1.5804, 4.4699]],
  "species": ["Zn", "In", "Sr", "Th"],
  "fractional_positions": [[0.0000, 0.0000, 0.0000], [0.5000, 0.5000, 0.5000], [0.2500, 0.2500, 0.2500], [0.7500, 0.7500, 0.7500]]
}



Record 11
{
  "formula": "CePuGaHg",
  "functional": "PBE",
  "state": "optimized geometry",
  "formation_enthalpy_0k_mev_per_atom": -254,
  "space_group": "No. 216",
  "de_polymorph_ev_per_atom": 0.050,
  "vol_a3_per_cell": 102.62,
  "lattice_angstrom": [[-4.0833, -2.7887, -1.7790], [0.7623, -3.8112, -3.5369], [-0.5538, -5.0344, 1.4014]],
  "species": ["Ga", "Pu", "Ce", "Hg"],
  "fractional_positions": [[0.2500, 0.2500, 0.2500], [0.0000, 0.0000, 0.0000], [0.5000, 0.5000, 0.5000], [0.7500, 0.7500, 0.7500]]
}



Record 12
{
  "formula": "TbSmDy14",
  "functional": "PBE",
  "state": "optimized geometry",
  "formation_enthalpy_0k_mev_per_atom": 2,
  "space_group": "No. 38",
  "vol_a3_per_cell": 503.99,
  "lattice_angstrom": [[7.0732, -0.8551, 0.0000], [-2.7942, 6.5539, 0.0000], [0.0000, 0.0000, 11.4627]],
  "species": ["Dy", "Dy", "Dy", "Dy", "Dy", "Dy", "Dy", "Dy", "Dy", "Dy", "Dy", "Dy", "Dy", "Dy", "Tb", "Sm"],
  "fractional_positions": [[0.3748, 0.1249, 0.7512], [0.3751, 0.6249, 0.2498], [0.3748, 0.1249, 0.2488], [0.5415, 0.4585, 0.0000], [0.2083, 0.2915, 0.5000], [0.7085, 0.7917, 0.5000], [0.8751, 0.1249, 0.7510], [0.8751, 0.6252, 0.7512], [0.5416, 0.9582, 0.0000], [0.8751, 0.1249, 0.2490], [0.0416, 0.9584, 0.0000], [0.3751, 0.6249, 0.7502], [0.8751, 0.6252, 0.2488], [0.0418, 0.4584, 0.0000], [0.2083, 0.7917, 0.5000], [0.7083, 0.2917, 0.5000]]
}



| no. | spin magnetization (μB/f.u.) |
| --- | --- |
| 1 | 0.0 |
| 2 | 1.0 |
| 3 | 0.0 |
| 4 | 0.0 |
| 5 | 0.0 |
| 6 | 0.0 |
| 7 | 0.0 |
| 8 | 5.7 |
| 9 | 0.0 |
| 10 | 0.0 |
| 11 | 7.1 |
| 12 | 0.0 |